[1]
PBE-GGA ErTaMo, relaxed; energy of formation from the pure elements = 0.280 eV/atom; theoretical density = 11.50 g/cm3; DOS at the Fermi energy = 0.995 states/eV per atom
1.0
0.000 4.262 5.062
2.972 0.000 5.062
2.972 4.262 0.000
Er Ta Mo
2 2 2
direct
0.181 0.819 0.181
0.819 0.181 0.819
0.327 0.327 0.673
0.673 0.673 0.327
0.250 0.250 0.250
0.750 0.750 0.750


[2]
PBE-GGA TbErMo4, relaxed; energy of formation from the pure elements = 0.089 eV/atom; theoretical density = 9.94 g/cm3; DOS at the Fermi energy = 1.343 states/eV per atom
1.0
0.000 3.899 3.899
3.899 0.000 3.899
3.899 3.899 0.000
Tb Er Mo
1 1 4
direct
0.000 0.000 0.000
0.750 0.750 0.750
0.375 0.375 0.375
0.375 0.375 0.875
0.375 0.875 0.375
0.875 0.375 0.375


[3]
PBE-GGA ErTc4Mo, relaxed; energy of formation from the pure elements = 0.069 eV/atom; theoretical density = 10.76 g/cm3; DOS at the Fermi energy = 1.455 states/eV per atom
1.0
0.000 3.697 3.697
3.697 0.000 3.697
3.697 3.697 0.000
Er Tc Mo
1 4 1
direct
0.000 0.000 0.000
0.125 0.625 0.625
0.625 0.125 0.625
0.625 0.625 0.125
0.625 0.625 0.625
0.250 0.250 0.250


[4]
PBE-GGA ErTc2Mo, relaxed; energy of formation from the pure elements = 0.029 eV/atom; theoretical density = 11.29 g/cm3; DOS at the Fermi energy = 1.290 states/eV per atom; polymorph energy (0 for the lowest one) = 3.8 kJ per mole of atoms
1.0
0.000 3.233 3.233
3.233 0.000 3.233
3.233 3.233 0.000
Er Tc Mo
1 2 1
direct
0.000 0.000 0.000
0.250 0.250 0.250
0.750 0.750 0.750
0.500 0.500 0.500


[5]
PBE-GGA ErTc2Mo, relaxed; energy of formation from the pure elements = -0.011 eV/atom; theoretical density = 11.00 g/cm3; DOS at the Fermi energy = 0.962 states/eV per atom; polymorph energy (0 for the lowest one) = 0.0 kJ per mole of atoms
1.0
3.198 0.000 0.000
0.000 3.198 0.000
0.000 0.000 6.776
Er Tc Mo
1 2 1
direct
0.000 0.000 0.000
0.500 0.500 0.281
0.500 0.500 0.719
0.000 0.000 0.500


[6]
PBE-GGA ErThTcMo, relaxed; energy of formation from the pure elements = 0.171 eV/atom; theoretical density = 11.65 g/cm3; DOS at the Fermi energy = 1.545 states/eV per atom
1.0
0.000 3.484 3.484
3.484 0.000 3.484
3.484 3.484 0.000
Er Th Tc Mo
1 1 1 1
direct
0.000 0.000 0.000
0.500 0.500 0.500
0.250 0.250 0.250
0.750 0.750 0.750


[7]
PBE-GGA ErThMo4, relaxed; energy of formation from the pure elements = 0.070 eV/atom; theoretical density = 10.74 g/cm3; DOS at the Fermi energy = 0.851 states/eV per atom
1.0
0.000 3.927 3.927
3.927 0.000 3.927
3.927 3.927 0.000
Er Th Mo
1 1 4
direct
0.000 0.000 0.000
0.250 0.250 0.250
0.126 0.625 0.625
0.625 0.126 0.625
0.625 0.625 0.126
0.625 0.625 0.625


[8]
PBE-GGA ErTiMo, relaxed; energy of formation from the pure elements = 0.077 eV/atom; theoretical density = 8.43 g/cm3; DOS at the Fermi energy = 1.184 states/eV per atom; polymorph energy (0 for the lowest one) = 0.0 kJ per mole of atoms
1.0
-1.699 1.699 5.307
1.699 -1.699 5.307
1.699 1.699 -5.307
Er Ti Mo
1 1 1
direct
0.000 0.000 0.000
0.291 0.291 0.000
0.687 0.687 0.000


no.,total DFT energy (no corrections) (eV/atom)
1,-8.80
2,-8.66
3,-9.41
4,-9.00
5,-9.04
6,-8.12
7,-9.15
8,-7.69